# 1
The following is a PBE calculation of a relaxed Co2NiOs crystal, from the Alexandria database.

Unit cell a=2.5598 b=2.5598 c=8.4294 alpha=90.00 beta=90.00 gamma=116.22
With the nearest neighbours (Å) after each atom.
Positions (direct):
Co 0.0000 0.0000 0.2401  2 Ni 2.43, 6 Co 2.56-2.70, 2 Os 2.57
Co 0.0000 0.0000 0.7599  2 Ni 2.43, 6 Co 2.56-2.70, 2 Os 2.57
Ni 0.5000 0.5000 0.0000  4 Co 2.43, 6 Ni 2.56-2.70
Os 0.5000 0.5000 0.5000  6 Os 2.56-2.70, 4 Co 2.57

**Calculated formation energy**: 32.61 kJ per mole of atoms
**Space-group type**: No. 65

# 2
The following is a PBE calculation of a relaxed Tl8BiSb2 crystal, from the Alexandria database.

Unit cell a=9.6538 b=9.6538 c=9.6538 alpha=147.51 beta=131.00 gamma=60.03
With the nearest neighbours (Å) after each atom.
Positions (direct):
Tl 0.1101 0.3425 0.7676  3 Sb 3.31-3.40, 1 Bi 3.39, 3 Tl 3.45-3.52
Tl 0.1636 0.1636 0.0000  8 Tl 3.45-3.56, 2 Sb 3.70, 2 Bi 3.84
Tl 0.2842 0.0000 0.2842  7 Tl 3.46-3.77, 2 Bi 3.53, 2 Sb 3.54
Tl 0.4251 0.6575 0.7676  3 Sb 3.31-3.40, 1 Bi 3.39, 3 Tl 3.45-3.52
Tl 0.5749 0.3425 0.2324  3 Sb 3.31-3.40, 1 Bi 3.39, 3 Tl 3.45-3.52
Tl 0.7158 0.0000 0.7158  7 Tl 3.46-3.77, 2 Bi 3.53, 2 Sb 3.54
Tl 0.8364 0.8364 0.0000  8 Tl 3.45-3.56, 2 Sb 3.70, 2 Bi 3.84
Tl 0.8899 0.6575 0.2324  3 Sb 3.31-3.40, 1 Bi 3.39, 3 Tl 3.45-3.52
Bi 0.0000 0.5000 0.5000  8 Tl 3.39-3.53
Sb 0.3150 0.8150 0.5000  10 Tl 3.31-3.70
Sb 0.6850 0.1850 0.5000  10 Tl 3.31-3.70

**Space-group type**: No. 71
**Uncorrected formation energy**: -0.0067 eV per atom

# 3
The following is a PBE calculation of a relaxed LuNb6 crystal, from the Alexandria database.

Unit cell a=6.2567 b=6.2567 c=6.2567 alpha=109.47 beta=109.47 gamma=109.47
With the nearest neighbours (Å) after each atom.
Positions (direct):
Lu 0.0000 0.0000 0.0000  24 Nb 4.04
Nb 0.2500 0.5000 0.7500  4 Nb 2.55
Nb 0.2500 0.7500 0.5000  4 Nb 2.55
Nb 0.5000 0.2500 0.7500  4 Nb 2.55
Nb 0.5000 0.7500 0.2500  4 Nb 2.55
Nb 0.7500 0.2500 0.5000  4 Nb 2.55
Nb 0.7500 0.5000 0.2500  4 Nb 2.55

**Calculated formation energy**: 183.86 kJ per mole of atoms
**Space-group type**: No. 229

no.,DOS(E_F) (states/eV/atom),E_tot (Ry per atom)
1,1.75,-0.54887
2,0.39,-0.20800
3,2.22,-0.54179